# 1
The following is a GGA-PBE calculation of TiBeNbRe after structural relaxation, from the Alexandria database. Values from VASP.

Cell and atoms, written as Quantum ESPRESSO input:
```
&SYSTEM
  ibrav = 0, nat = 4, ntyp = 4
/
ATOMIC_SPECIES
Ti 47.87 Ti.upf
Be 9.01 Be.upf
Nb 92.91 Nb.upf
Re 186.21 Re.upf
CELL_PARAMETERS angstrom
0.000 3.107 3.107
3.107 0.000 3.107
3.107 3.107 0.000
ATOMIC_POSITIONS crystal
Ti 0.000 0.000 0.000
Be 0.250 0.250 0.250
Nb 0.500 0.500 0.500
Re 0.750 0.750 0.750
```

Calculated values
raw total energy: -8.695 eV per atom
SG: F-43m, No. 216
density: 9.31 Mg/m³

# 2
The following is a GGA-PBE calculation of BeNb2Rh4 after structural relaxation, from the Alexandria database. Values from VASP.

Cell and atoms, written as Quantum ESPRESSO input:
```
&SYSTEM
  ibrav = 0, nat = 7, ntyp = 3
/
ATOMIC_SPECIES
Be 9.01 Be.upf
Nb 92.91 Nb.upf
Rh 102.91 Rh.upf
CELL_PARAMETERS angstrom
-2.025 2.025 6.639
2.025 -2.025 6.639
2.025 2.025 -6.639
ATOMIC_POSITIONS crystal
Be 0.000 0.000 0.000
Nb 0.345 0.345 0.000
Nb 0.655 0.655 0.000
Rh 0.000 0.500 0.500
Rh 0.163 0.163 0.000
Rh 0.500 0.000 0.500
Rh 0.837 0.837 0.000
```

Calculated values
raw total energy: -7.633 eV per atom
SG: I4/mmm, No. 139
density: 9.25 Mg/m³